An optimized crystal structure of Tb2ZnCr, computed with PBE. Values from VASP.

Symmetry: P4/mmm, No. 123
Electronic total energy (eV/f.u.): -20.08
Offset from the most stable computed form (meV per atom): 6

Quantum ESPRESSO input file:
```
&SYSTEM
  ibrav = 0, nat = 4, ntyp = 3
/
ATOMIC_SPECIES
Tb 158.93 Tb.upf
Zn 65.41 Zn.upf
Cr 52.00 Cr.upf
ATOMIC_POSITIONS crystal
Tb 0.000 0.500 0.000
Tb 0.500 0.000 0.000
Zn 0.000 0.000 0.500
Cr 0.500 0.500 0.500
CELL_PARAMETERS angstrom
5.053 0.000 0.000
0.000 5.053 0.000
0.000 0.000 3.605
```


An optimized crystal structure of Ac2Ta2N5, computed with PBE. Values from VASP.

Symmetry: C2/m, No. 12
E_form (uncorrected) (meV per atom): -1226.0
Electronic total energy (eV/f.u.): -84.58
Offset from the most stable computed form (meV per atom): 60

Quantum ESPRESSO input file:
```
&SYSTEM
  ibrav = 0, nat = 9, ntyp = 3
/
ATOMIC_SPECIES
Ac 227.00 Ac.upf
Ta 180.95 Ta.upf
N 14.01 N.upf
ATOMIC_POSITIONS crystal
Ac 0.102 0.102 0.327
Ac 0.898 0.898 0.673
Ta 0.342 0.342 0.107
Ta 0.658 0.658 0.893
N 0.155 0.155 0.923
N 0.340 0.340 0.420
N 0.500 0.500 0.000
N 0.660 0.660 0.580
N 0.845 0.845 0.077
CELL_PARAMETERS angstrom
5.816 -2.144 0.000
5.816 2.144 0.000
-2.062 0.000 5.699
```


An optimized crystal structure of Cd2Cu2Ge, computed with PBE. Values from VASP.

Symmetry: P4/mbm, No. 127
Electronic total energy (eV/f.u.): -14.08
Offset from the most stable computed form (meV per atom): 0

Quantum ESPRESSO input file:
```
&SYSTEM
  ibrav = 0, nat = 10, ntyp = 3
/
ATOMIC_SPECIES
Cd 112.41 Cd.upf
Cu 63.55 Cu.upf
Ge 72.64 Ge.upf
ATOMIC_POSITIONS crystal
Cd 0.163 0.337 0.000
Cd 0.337 0.837 0.000
Cd 0.663 0.163 0.000
Cd 0.837 0.663 0.000
Cu 0.140 0.640 0.500
Cu 0.360 0.140 0.500
Cu 0.640 0.860 0.500
Cu 0.860 0.360 0.500
Ge 0.000 0.000 0.500
Ge 0.500 0.500 0.500
CELL_PARAMETERS angstrom
6.469 0.000 0.000
0.000 6.469 0.000
0.000 0.000 4.173
```


An optimized crystal structure of PmPrNi2H8, computed with PBE. Values from VASP.

Symmetry: R-3m, No. 166
Electronic total energy (eV/f.u.): -51.73

Quantum ESPRESSO input file:
```
&SYSTEM
  ibrav = 0, nat = 12, ntyp = 4
/
ATOMIC_SPECIES
Pm 145.00 Pm.upf
Pr 140.91 Pr.upf
Ni 58.69 Ni.upf
H 1.01 H.upf
ATOMIC_POSITIONS crystal
Pm 0.000 0.000 0.000
Pr 0.500 0.500 0.500
Ni 0.242 0.242 0.242
Ni 0.758 0.758 0.758
H 0.086 0.543 0.543
H 0.159 0.159 0.159
H 0.457 0.457 0.914
H 0.457 0.914 0.457
H 0.543 0.086 0.543
H 0.543 0.543 0.086
H 0.841 0.841 0.841
H 0.914 0.457 0.457
CELL_PARAMETERS angstrom
2.277 1.314 6.409
-2.277 1.314 6.409
0.000 -2.629 6.409
```


An optimized crystal structure of DyZrSc2P4, computed with PBE. Values from VASP.

Symmetry: P2/m, No. 10
Electronic total energy (eV/f.u.): -59.38

Quantum ESPRESSO input file:
```
&SYSTEM
  ibrav = 0, nat = 8, ntyp = 4
/
ATOMIC_SPECIES
Dy 162.50 Dy.upf
Zr 91.22 Zr.upf
Sc 44.96 Sc.upf
P 30.97 P.upf
ATOMIC_POSITIONS crystal
Dy 0.000 0.000 0.000
Zr 0.000 0.500 0.500
Sc 0.500 0.000 0.500
Sc 0.500 0.500 0.000
P 0.255 0.000 0.745
P 0.260 0.500 0.261
P 0.740 0.500 0.739
P 0.745 0.000 0.255
CELL_PARAMETERS angstrom
6.574 0.000 0.000
0.000 3.814 0.000
-2.191 0.000 6.237
```


An optimized crystal structure of LiEuInBi, computed with PBE. Values from VASP.

Symmetry: F-43m, No. 216
Electronic total energy (eV/f.u.): -20.54

Quantum ESPRESSO input file:
```
&SYSTEM
  ibrav = 0, nat = 4, ntyp = 4
/
ATOMIC_SPECIES
Li 6.94 Li.upf
Eu 151.96 Eu.upf
In 114.82 In.upf
Bi 208.98 Bi.upf
ATOMIC_POSITIONS crystal
Li 0.000 0.000 0.000
Eu 0.500 0.500 0.500
In 0.250 0.250 0.250
Bi 0.750 0.750 0.750
CELL_PARAMETERS angstrom
0.000 3.826 3.826
3.826 0.000 3.826
3.826 3.826 0.000
```


An optimized crystal structure of SrZnIn2, computed with PBE. Values from VASP.

Symmetry: P2/m, No. 10
Electronic total energy (eV/f.u.): -9.22

Quantum ESPRESSO input file:
```
&SYSTEM
  ibrav = 0, nat = 4, ntyp = 3
/
ATOMIC_SPECIES
Sr 87.62 Sr.upf
Zn 65.41 Zn.upf
In 114.82 In.upf
ATOMIC_POSITIONS crystal
Sr 0.000 0.000 0.000
Zn 0.500 0.000 0.500
In 0.348 0.500 0.710
In 0.652 0.500 0.290
CELL_PARAMETERS angstrom
3.867 0.000 0.000
0.000 4.751 0.000
-1.365 0.000 6.088
```


Which of these has the highest electronic total energy?
SrZnIn2


Among the records above, which one has the lowest electronic total energy?
Ac2Ta2N5


Which of these has the lowest electronic total energy?
Ac2Ta2N5


Look up the electronic total energy of the fourth one.
-51.73 eV/f.u.